# 1
Entry from Alexandria via LeMat-Bulk: crystalline LaTcRu2 at its relaxed geometry (GGA-PBE).

Computed properties:
Total moment = 0.146 μB/atom
Space group = Cmmm
E = -8.0343 eV/atom
ΔE to the lowest computed polymorph = 292 meV per atom

abc: 4.868 4.868 3.020
angles: 90.00 90.00 98.94
Element x y z (fractional)
La (0.000, 0.000, 0.000)
Tc (0.500, 0.500, 0.000)
Ru (0.000, 0.500, 0.500)
Ru (0.500, 0.000, 0.500)

=====

# 2
Entry from Alexandria via LeMat-Bulk: crystalline KIn4Bi at its relaxed geometry (GGA-PBE).

Computed properties:
Total moment = 0.000 μB/atom
Space group = F-43m
E = -2.6841 eV/atom

abc: 6.402 6.402 6.402
angles: 60.00 60.00 60.00
Element x y z (fractional)
K (0.000, 0.000, 0.000)
In (0.127, 0.624, 0.624)
In (0.624, 0.127, 0.624)
In (0.624, 0.624, 0.127)
In (0.624, 0.624, 0.624)
Bi (0.250, 0.250, 0.250)

=====

# 3
Entry from Alexandria via LeMat-Bulk: crystalline PuAlZn2 at its relaxed geometry (GGA-PBE).

Computed properties:
Total moment = 1.445 μB/atom
Space group = P4/mmm
E = -5.1986 eV/atom

abc: 2.992 2.992 8.269
angles: 90.00 90.00 90.00
Element x y z (fractional)
Pu (0.000, 0.000, 0.000)
Al (0.000, 0.000, 0.500)
Zn (0.500, 0.500, 0.278)
Zn (0.500, 0.500, 0.722)

=====

# 4
Entry from Alexandria via LeMat-Bulk: crystalline PrDyPu at its relaxed geometry (GGA-PBE).

Computed properties:
Total moment = 1.889 μB/atom
Space group = P-6m2
E = -7.6741 eV/atom
ΔE to the lowest computed polymorph = 101 meV per atom

abc: 5.710 5.710 3.329
angles: 90.00 90.00 120.00
Element x y z (fractional)
Pr (0.000, 0.000, 0.000)
Dy (0.667, 0.333, 0.000)
Pu (0.333, 0.667, 0.500)

=====

# 5
Entry from Alexandria via LeMat-Bulk: crystalline V3HgPb at its relaxed geometry (GGA-PBE).

Computed properties:
Total moment = 1.455 μB/atom
Space group = Pm-3m
E = -4.7869 eV/atom
ΔE to the lowest computed polymorph = 0 meV per atom

abc: 5.007 5.007 5.007
angles: 90.00 90.00 90.00
Element x y z (fractional)
V (0.000, 0.000, 0.500)
V (0.000, 0.500, 0.000)
V (0.500, 0.000, 0.000)
Hg (0.000, 0.000, 0.000)
Pb (0.500, 0.500, 0.500)

=====

# 6
Entry from Alexandria via LeMat-Bulk: crystalline CsThAg2I8 at its relaxed geometry (GGA-PBE).

Computed properties:
Total moment = 0.085 μB/atom
Space group = C2/m
E = -3.0033 eV/atom

abc: 7.687 7.687 11.210
angles: 104.46 104.46 68.17
Element x y z (fractional)
Cs (0.000, 0.000, 0.000)
Th (0.000, 0.000, 0.500)
Ag (0.407, 0.407, 0.695)
Ag (0.593, 0.593, 0.305)
I (0.181, 0.690, 0.289)
I (0.233, 0.233, 0.471)
I (0.310, 0.819, 0.711)
I (0.367, 0.367, 0.926)
I (0.633, 0.633, 0.074)
I (0.690, 0.181, 0.289)
I (0.767, 0.767, 0.529)
I (0.819, 0.310, 0.711)

=====

# 7
Entry from Alexandria via LeMat-Bulk: crystalline Mg3B at its relaxed geometry (GGA-PBE).

Computed properties:
Total moment = 0.000 μB/atom
Space group = Pmm2
E = -2.2728 eV/atom

abc: 3.411 4.249 4.895
angles: 90.00 90.00 90.00
Element x y z (fractional)
Mg (0.000, 0.000, 0.000)
Mg (0.000, 0.500, 0.436)
Mg (0.500, 0.000, 0.544)
B (0.500, 0.500, 0.823)

=====

# 8
Entry from Alexandria via LeMat-Bulk: crystalline BeAl2W at its relaxed geometry (GGA-PBE).

Computed properties:
Total moment = 0.000 μB/atom
Space group = Pm
E = -5.9846 eV/atom

abc: 2.719 4.175 5.031
angles: 90.00 98.25 90.00
Element x y z (fractional)
Be (0.000, 0.000, 0.000)
Al (0.108, 0.000, 0.469)
Al (0.824, 0.500, 0.739)
W (0.488, 0.500, 0.209)